(a)
Computed, not measured: a relaxed RbHf2Br crystal at the PBE-GGA level of DFT.

Cell lengths 5.0844, 5.0844, 21.4617 Å; angles 90.00, 90.00, 90.00 degrees
Sites, in units of the cell vectors:
Rb (0.0000, 0.0000, 0.0000)
Rb (0.0000, 0.5000, 0.2500)
Rb (0.5000, 0.0000, 0.7500)
Rb (0.5000, 0.5000, 0.5000)
Hf (0.0608, 0.2500, 0.6250)
Hf (0.2500, 0.5608, 0.8750)
Hf (0.2500, 0.9392, 0.3750)
Hf (0.4392, 0.2500, 0.1250)
Hf (0.5608, 0.7500, 0.1250)
Hf (0.7500, 0.0608, 0.3750)
Hf (0.7500, 0.4392, 0.8750)
Hf (0.9392, 0.7500, 0.6250)
Br (0.0000, 0.0000, 0.5000)
Br (0.0000, 0.5000, 0.7500)
Br (0.5000, 0.0000, 0.2500)
Br (0.5000, 0.5000, 0.0000)

Summary:
Space-group type   I-42d

***

(b)
Computed, not measured: a relaxed RbHf2Br crystal at the PBE-GGA level of DFT.

Cell lengths 7.5345, 7.5345, 7.5345 Å; angles 90.00, 90.00, 90.00 degrees
Sites, in units of the cell vectors:
Rb (0.0000, 0.0000, 0.0000)
Rb (0.0000, 0.5000, 0.5000)
Rb (0.5000, 0.0000, 0.5000)
Rb (0.5000, 0.5000, 0.0000)
Hf (0.2500, 0.2500, 0.2500)
Hf (0.2500, 0.2500, 0.7500)
Hf (0.2500, 0.7500, 0.2500)
Hf (0.2500, 0.7500, 0.7500)
Hf (0.7500, 0.2500, 0.2500)
Hf (0.7500, 0.2500, 0.7500)
Hf (0.7500, 0.7500, 0.2500)
Hf (0.7500, 0.7500, 0.7500)
Br (0.0000, 0.0000, 0.5000)
Br (0.0000, 0.5000, 0.0000)
Br (0.5000, 0.0000, 0.0000)
Br (0.5000, 0.5000, 0.5000)

Summary:
Space-group type   Fm-3m

***

Most stable one: (a), least stable one: (b).